The following is a DFT calculation (GGA+U) of a relaxed structure of CoGeSbO5.

Calculated values
**Total DFT energy (no corrections)**: -6.063 eV/atom
**DOS at the Fermi energy**: 1.11 states/eV/f.u.

Cell: 6.2839 9.5041 7.7274 Å, 90.00 113.05 90.00°
Space group C2/c (No. 15)
Inequivalent atoms, fractional coordinates:
Co (0.0000, 0.2076, 0.2500)
Ge (0.0000, 0.1944, 0.7500)
Sb (0.0000, 0.5000, 0.0000)
O (0.0000, 0.4156, 0.2500)
O (0.1606, 0.3089, 0.6527)
O (0.1734, 0.0882, 0.9401)